A relaxed structure of Tb10CeHo4. Source: the Alexandria database, functional GGA-PBE.

Formation energy from the elements (meV/atom): 358
Size of the total moment (μB per cell): 1.30
Total DFT energy (no corrections) (eV/atom): -4.346

Unit cell a=8.6248 b=8.6248 c=8.6248 alpha=112.02 beta=112.02 gamma=104.48
Closest atoms and distances in Å follow each position.
Fractional coordinates of all 15 atoms:
Tb 0.0424 0.9439 0.6718  5 Tb 3.13-3.34
Tb 0.0561 0.7279 0.0985  5 Tb 3.13-3.34
Tb 0.2500 0.7500 0.5000  4 Tb 3.13, 4 Ho 3.15
Tb 0.2721 0.3707 0.3282  5 Tb 3.13-3.34
Tb 0.3707 0.0424 0.0985  5 Tb 3.13-3.34
Tb 0.6293 0.9576 0.9015  5 Tb 3.13-3.34
Tb 0.7279 0.6293 0.6718  5 Tb 3.13-3.34
Tb 0.7500 0.2500 0.5000  4 Tb 3.13, 4 Ho 3.15
Tb 0.9439 0.2721 0.9015  5 Tb 3.13-3.34
Tb 0.9576 0.0561 0.3282  5 Tb 3.13-3.34
Ce 0.5000 0.5000 0.0000  4 Ho 3.28
Ho 0.1666 0.5651 0.7317  2 Tb 3.15, 1 Ce 3.28, 1 Ho 3.45
Ho 0.4349 0.1666 0.6014  2 Tb 3.15, 1 Ce 3.28, 1 Ho 3.45
Ho 0.5651 0.8334 0.3986  2 Tb 3.15, 1 Ce 3.28, 1 Ho 3.45
Ho 0.8334 0.4349 0.2683  2 Tb 3.15, 1 Ce 3.28, 1 Ho 3.45